[1]
A plane-wave DFT calculation with PBE-GGA was carried out for crystalline SmTmSn2 at its relaxed geometry.

```
4
Lattice="4.476 0.000 0.000 0.000 4.874 0.000 0.000 0.000 4.874" Properties=species:S:1:pos:R:3 pbc="T T T"
Tm 2.238 2.437 2.437
Sn 0.000 0.000 2.437
Sn 0.000 2.437 0.000
Sm 2.238 0.000 0.000
```

Properties
For the energy of formation from the pure elements, the calculation gives -0.612 eV/atom. As for the total magnetization: 0.00 μB/cell. As for the space group: P4/mmm, No. 123.

=====

[2]
A plane-wave DFT calculation with PBE-GGA was carried out for crystalline SmTmSn at its relaxed geometry.

```
3
Lattice="-1.542 0.342 -2.939 -0.166 -3.319 -0.299 -6.842 1.509 5.659" Properties=species:S:1:pos:R:3 pbc="T T T"
Tm -4.849 -1.478 0.478
Sn -2.080 0.005 1.092
Sm -7.862 -1.470 2.059
```

Properties
For the energy of formation from the pure elements, the calculation gives 0.143 eV/atom. As for the total magnetization: 0.03 μB/cell. As for the space group: I4mm, No. 107. The value obtained for the energy above the most stable polymorph in this dataset is 2.25 eV/f.u.

=====

[3]
A plane-wave DFT calculation with PBE-GGA was carried out for crystalline SmTm2Sn9 at its relaxed geometry.

```
12
Lattice="-3.233 -1.993 2.750 2.210 -4.117 -0.385 7.868 3.144 11.530" Properties=species:S:1:pos:R:3 pbc="T T T"
Sm 0.000 0.000 0.000
Tm 2.618 1.046 3.837
Tm 5.250 2.098 7.693
Sn -0.511 -3.055 1.182
Sn 2.127 -2.000 5.049
Sn 4.718 -0.965 8.845
Sn -0.276 -0.461 3.339
Sn 2.318 0.576 7.140
Sn 4.911 1.612 10.940
Sn 2.446 -1.523 1.772
Sn 5.039 -0.486 5.572
Sn 7.633 0.550 9.373
```

Properties
For the energy of formation from the pure elements, the calculation gives -0.404 eV/atom. As for the total magnetization: 0.00 μB/cell. As for the space group: P4/mmm, No. 123.

=====

[4]
A plane-wave DFT calculation with PBE-GGA was carried out for crystalline Sm2TmSn9 at its relaxed geometry.

```
12
Lattice="4.808 0.000 0.000 0.000 4.808 0.000 0.000 0.000 13.762" Properties=species:S:1:pos:R:3 pbc="T T T"
Sm 0.000 0.000 4.573
Sm 0.000 0.000 9.189
Tm 0.000 0.000 0.000
Sn 2.404 2.404 0.000
Sn 2.404 2.404 4.560
Sn 2.404 2.404 9.202
Sn 2.404 0.000 2.240
Sn 2.404 0.000 6.881
Sn 2.404 0.000 11.522
Sn 0.000 2.404 2.240
Sn 0.000 2.404 6.881
Sn 0.000 2.404 11.522
```

Properties
For the energy of formation from the pure elements, the calculation gives -0.441 eV/atom. As for the total magnetization: 0.00 μB/cell. As for the space group: P4/mmm, No. 123.

=====

[5]
A plane-wave DFT calculation with PBE-GGA was carried out for crystalline Sm12Tm5Sn2 at its relaxed geometry.

```
19
Lattice="9.522 0.000 0.000 -4.761 7.523 1.085 0.000 -1.626 8.310" Properties=species:S:1:pos:R:3 pbc="T T T"
Sm 4.761 6.092 1.885
Sm -3.007 3.991 7.147
Sm 3.007 3.991 7.147
Sm -1.879 5.126 3.721
Sm 1.879 5.126 3.721
Sm 0.000 5.630 6.700
Sm 4.761 0.267 2.695
Sm 6.640 0.771 5.674
Sm 2.882 0.771 5.674
Sm 7.767 1.906 2.248
Sm 1.754 1.906 2.248
Sm 0.000 -0.195 7.510
Tm 0.000 2.577 5.388
Tm 0.000 4.831 0.697
Tm 0.000 -0.813 4.155
Tm 4.761 1.066 8.698
Tm 4.761 3.320 4.007
Sn 6.599 0.000 0.000
Sn 2.923 0.000 0.000
```

Properties
For the energy of formation from the pure elements, the calculation gives -0.082 eV/atom. As for the total magnetization: 0.00 μB/cell. As for the space group: C2/m, No. 12.

=====

[6]
A plane-wave DFT calculation with PBE-GGA was carried out for crystalline Sm5TmSn4 at its relaxed geometry.

```
10
Lattice="3.737 0.000 0.000 0.000 9.636 -0.640 -1.868 -2.093 9.444" Properties=species:S:1:pos:R:3 pbc="T T T"
Sm 1.868 4.808 5.793
Sm 1.868 0.302 6.197
Sm 0.000 7.241 2.608
Sm 1.868 4.818 -0.320
Sm 0.000 2.736 3.011
Tm 1.868 0.000 0.000
Sn 0.000 7.368 5.720
Sn 1.868 5.149 8.910
Sn 1.868 0.176 3.084
Sn 0.000 2.395 -0.106
```

Properties
For the energy of formation from the pure elements, the calculation gives -0.338 eV/atom. As for the total magnetization: 0.00 μB/cell. As for the space group: C2/m, No. 12.

=====

Among the records above, which one has the highest energy of formation from the pure elements? SmTmSn

=====

energy of formation from the pure elements of number 5 (Sm12Tm5Sn2)? -0.082 eV/atom